[1]
Crystalline AgAuIN2 at its relaxed geometry, computed with PBE.

The structure in POSCAR format:
```
AgAuIN2
1.0
-3.419 1.512 1.674
-0.085 -3.125 2.647
4.256 4.107 4.984
N Au Ag I
2 1 1 1
direct
0.000 0.500 0.000 N
0.500 0.000 0.000 N
0.500 0.500 0.500 Au
0.000 0.000 0.000 Ag
0.000 0.000 0.500 I
```

DOS at the Fermi energy = 2.3 states/eV per cell
Formation energy without anion corrections = 1.710 eV per atom
Mass density = 5.9 g/cm³
Crystal system = tetragonal
Uncorrected energy = -3.156 eV per atom

=====

[2]
Crystalline AgAuIN2 at its relaxed geometry, computed with PBE.

The structure in POSCAR format:
```
AgAuIN2
1.0
-2.242 1.274 -3.266
-4.787 -3.261 2.014
-1.319 3.286 2.186
N I Ag Au
2 1 1 1
direct
0.500 0.000 0.000 N
0.000 0.000 0.500 N
0.500 0.500 0.500 I
0.000 0.000 0.000 Ag
0.000 0.500 0.000 Au
```

DOS at the Fermi energy = 2.1 states/eV per cell
Formation energy without anion corrections = 1.697 eV per atom
Mass density = 7.2 g/cm³
Crystal system = tetragonal
Uncorrected energy = -3.169 eV per atom

=====

[3]
Crystalline NaAg2AuI4 at its relaxed geometry, computed with PBE.

The structure in POSCAR format:
```
NaAg2AuI4
1.0
6.709 0.277 0.000
-0.280 6.709 0.000
-3.214 -3.493 6.734
I Au Na Ag
4 1 1 2
direct
0.364 0.897 0.261 I
0.897 0.364 0.261 I
0.103 0.103 0.739 I
0.635 0.635 0.739 I
0.999 0.999 0.999 Au
0.501 0.501 0.001 Na
0.250 0.750 0.500 Ag
0.750 0.250 0.500 Ag
```

Formation energy without anion corrections = -0.410 eV per atom
Mass density = 5.2 g/cm³
Crystal system = orthorhombic
Uncorrected energy = -2.473 eV per atom